No. 1
The following is a DFT calculation (PBE-GGA) of a geometry-optimized NbCdFeGe structure.

a b c (Å): 6.4047 6.4047 6.4047
angles (deg): 90.00 90.00 90.00
Last column: nearest neighbours and their distance in Å.
Space group F-43m (No. 216)
One atom of each set of equivalent atoms:
Nb: 0.0000 0.0000 0.0000 x4  4 Cd 2.77, 4 Ge 2.77
Cd: 0.2500 0.2500 0.7500 x4  4 Nb 2.77, 4 Fe 2.77
Fe: 0.0000 0.0000 0.5000 x4  4 Ge 2.77, 4 Cd 2.77
Ge: 0.2500 0.2500 0.2500 x4  4 Nb 2.77, 4 Fe 2.77

Computed properties:
Excess energy over the best structure of this formula in the dataset: 0 meV/atom
Uncorrected energy: -5.640 eV per atom
M_tot: 8.5 Bohr magnetons per cell

=====

No. 2
The following is a DFT calculation (PBE-GGA) of a geometry-optimized NbCdFeGe structure.

a b c (Å): 6.3990 6.3990 6.3990
angles (deg): 90.00 90.00 90.00
Last column: nearest neighbours and their distance in Å.
Space group F-43m (No. 216)
One atom of each set of equivalent atoms:
Nb: 0.0000 0.0000 0.0000 x4  4 Cd 2.77, 4 Fe 2.77
Cd: 0.2500 0.2500 0.2500 x4  4 Ge 2.77, 4 Nb 2.77
Fe: 0.2500 0.2500 0.7500 x4  4 Ge 2.77, 4 Nb 2.77
Ge: 0.0000 0.0000 0.5000 x4  4 Fe 2.77, 4 Cd 2.77

Computed properties:
Excess energy over the best structure of this formula in the dataset: 93 meV/atom
Uncorrected energy: -5.547 eV per atom
M_tot: 3.4 Bohr magnetons per cell

=====

No. 3
The following is a DFT calculation (PBE-GGA) of a geometry-optimized CdFeGeOs structure.

a b c (Å): 6.2226 6.2226 6.2226
angles (deg): 90.00 90.00 90.00
Last column: nearest neighbours and their distance in Å.
Space group F-43m (No. 216)
One atom of each set of equivalent atoms:
Cd: 0.0000 0.0000 0.0000 x4  4 Fe 2.69, 4 Os 2.69
Fe: 0.2500 0.2500 0.7500 x4  4 Ge 2.69, 4 Cd 2.69
Ge: 0.0000 0.0000 0.5000 x4  4 Fe 2.69, 4 Os 2.69
Os: 0.2500 0.2500 0.2500 x4  4 Ge 2.69, 4 Cd 2.69

Computed properties:
Excess energy over the best structure of this formula in the dataset: 0 meV/atom
Uncorrected energy: -5.762 eV per atom
M_tot: 8.0 Bohr magnetons per cell

=====

No. 4
The following is a DFT calculation (PBE-GGA) of a geometry-optimized CdFeGePd structure.

a b c (Å): 6.3344 6.3344 6.3344
angles (deg): 90.00 90.00 90.00
Last column: nearest neighbours and their distance in Å.
Space group F-43m (No. 216)
One atom of each set of equivalent atoms:
Cd: 0.0000 0.0000 0.0000 x4  4 Fe 2.74, 4 Pd 2.74
Fe: 0.2500 0.2500 0.7500 x4  4 Ge 2.74, 4 Cd 2.74
Ge: 0.0000 0.0000 0.5000 x4  4 Fe 2.74, 4 Pd 2.74
Pd: 0.2500 0.2500 0.2500 x4  4 Ge 2.74, 4 Cd 2.74

Computed properties:
Excess energy over the best structure of this formula in the dataset: 0 meV/atom
Uncorrected energy: -4.723 eV per atom
M_tot: 9.8 Bohr magnetons per cell

=====

Which value of M_tot does entry 3 give?
8.0 Bohr magnetons per cell